# 1
Entry from the Alexandria database: a relaxed structure of ScTaSi (PBE).

Geometry as POSCAR:
```
ScTaSi
1.0
4.4819 0.0000 0.0000
-2.2410 3.8814 0.0000
0.0000 0.0000 3.1744
Sc Ta Si
1 1 1
Cartesian
0.0000 0.0000 0.0000 Sc
0.0000 2.5876 1.5853 Ta
2.2410 1.2938 1.5970 Si
```

## Properties
- Total DFT energy (no corrections): -7.937 eV/atom
- Magnetization: 0.00 μB/cell

---

# 2
Entry from the Alexandria database: a relaxed structure of ScTa2Si (PBE).

Geometry as POSCAR:
```
ScTa2Si
1.0
5.7536 0.0000 0.0000
0.0000 8.3418 0.0000
0.0000 0.0000 2.9458
Sc Ta Si
2 4 2
Cartesian
0.0000 0.0000 0.0000 Sc
2.8768 4.1709 0.0000 Sc
1.4384 2.0854 1.4729 Ta
1.4384 6.2563 1.4729 Ta
4.3152 2.0854 1.4729 Ta
4.3152 6.2563 1.4729 Ta
0.0000 4.1709 0.0000 Si
2.8768 0.0000 0.0000 Si
```

## Properties
- Total DFT energy (no corrections): -8.842 eV/atom
- Magnetization: 0.00 μB/cell

---

# 3
Entry from the Alexandria database: a relaxed structure of ScTa2Si (PBE).

Geometry as POSCAR:
```
ScTa2Si
1.0
3.4139 0.0000 0.0000
0.0000 3.4139 0.0000
0.0000 0.0000 6.1267
Sc Ta Si
1 2 1
Cartesian
0.0000 0.0000 0.0000 Sc
0.0000 0.0000 2.9274 Ta
1.7070 1.7070 4.3986 Ta
1.7070 1.7070 1.5784 Si
```

## Properties
- Total DFT energy (no corrections): -9.105 eV/atom
- Magnetization: 0.00 μB/cell

---

# 4
Entry from the Alexandria database: a relaxed structure of Sc2TaSi (PBE).

Geometry as POSCAR:
```
Sc2TaSi
1.0
7.7405 0.0000 0.0000
0.0000 7.7405 0.0000
0.0000 0.0000 5.3493
Sc Ta Si
8 4 4
Cartesian
1.6405 1.9351 0.6687 Sc
1.9351 5.5108 2.0060 Sc
1.9351 6.0999 4.6806 Sc
2.2297 1.9351 3.3433 Sc
5.5108 5.8054 3.3433 Sc
5.8054 1.6405 4.6806 Sc
5.8054 2.2297 2.0060 Sc
6.0999 5.8054 0.6687 Sc
0.0000 0.0000 2.6746 Ta
0.0000 3.8702 4.0120 Ta
3.8702 0.0000 1.3373 Ta
3.8702 3.8702 0.0000 Ta
0.0000 0.0000 0.0000 Si
0.0000 3.8702 1.3373 Si
3.8702 0.0000 4.0120 Si
3.8702 3.8702 2.6746 Si
```

## Properties
- Total DFT energy (no corrections): -7.250 eV/atom
- Magnetization: 0.00 μB/cell

---

# 5
Entry from the Alexandria database: a relaxed structure of ScTaSi2 (PBE).

Geometry as POSCAR:
```
ScTaSi2
1.0
2.9249 0.0000 0.0000
0.0000 2.9249 0.0000
0.0000 0.0000 7.6978
Sc Ta Si
1 1 2
Cartesian
0.0000 0.0000 0.0000 Sc
0.0000 0.0000 3.8489 Ta
1.4624 1.4624 1.9972 Si
1.4624 1.4624 5.7006 Si
```

## Properties
- Offset from the most stable computed form: 358 meV per atom
- Magnetization: 0.41 μB/cell

---

# 6
Entry from the Alexandria database: a relaxed structure of ScTa2Si (PBE).

Geometry as POSCAR:
```
ScTa2Si
1.0
9.6394 0.0000 0.0000
0.0000 2.9802 0.0000
-0.9876 0.0000 4.9403
Sc Ta Si
2 4 2
Cartesian
0.0000 0.0000 0.0000 Sc
4.8197 1.4901 0.0000 Sc
1.5142 0.0000 3.5740 Ta
4.0644 0.0000 2.2914 Ta
6.3339 1.4901 3.5740 Ta
8.8841 1.4901 2.2914 Ta
2.0898 1.4901 1.1562 Si
6.9095 0.0000 1.1562 Si
```

## Properties
- Total DFT energy (no corrections): -8.939 eV/atom
- Magnetization: 0.00 μB/cell

---

# 7
Entry from the Alexandria database: a relaxed structure of ScTa2Si (PBE).

Geometry as POSCAR:
```
ScTa2Si
1.0
2.9948 0.0000 0.0000
-1.4974 2.5936 0.0000
0.0000 0.0000 28.0916
Sc Ta Si
3 6 3
Cartesian
0.0000 0.0000 0.0000 Sc
0.0000 1.7291 18.7278 Sc
1.4974 0.8645 9.3639 Sc
0.0000 0.0000 6.8242 Ta
0.0000 0.0000 21.2674 Ta
0.0000 1.7291 11.9035 Ta
0.0000 1.7291 25.5520 Ta
1.4974 0.8645 2.5396 Ta
1.4974 0.8645 16.1881 Ta
0.0000 0.0000 14.0458 Si
0.0000 1.7291 4.6820 Si
1.4974 0.8645 23.4097 Si
```

## Properties
- Total DFT energy (no corrections): -8.794 eV/atom
- Magnetization: 0.00 μB/cell

---

# 8
Entry from the Alexandria database: a relaxed structure of ScTaSi2 (PBE).

Geometry as POSCAR:
```
ScTaSi2
1.0
3.7117 0.0000 0.0000
-1.8559 3.2144 0.0000
0.0000 0.0000 18.4254
Sc Ta Si
3 3 6
Cartesian
0.0000 0.0000 0.0000 Sc
0.0000 2.1430 12.2836 Sc
1.8559 1.0715 6.1418 Sc
0.0000 0.0000 9.2127 Ta
0.0000 2.1430 3.0709 Ta
1.8559 1.0715 15.3545 Ta
0.0000 0.0000 4.5243 Si
0.0000 0.0000 13.9011 Si
0.0000 2.1430 7.7593 Si
0.0000 2.1430 16.8079 Si
1.8559 1.0715 1.6175 Si
1.8559 1.0715 10.6661 Si
```

## Properties
- Offset from the most stable computed form: 293 meV per atom
- Magnetization: 0.00 μB/cell

---

# 9
Entry from the Alexandria database: a relaxed structure of Sc2TaSi (PBE).

Geometry as POSCAR:
```
Sc2TaSi
1.0
9.9173 0.0000 0.0000
0.0000 3.0658 0.0000
-1.1720 0.0000 4.9004
Sc Ta Si
4 2 2
Cartesian
2.0640 0.0000 1.1560 Sc
1.7227 1.5329 3.7445 Sc
7.0227 1.5329 1.1560 Sc
6.6813 0.0000 3.7445 Sc
-0.5860 0.0000 2.4502 Ta
4.3727 1.5329 2.4502 Ta
0.0000 1.5329 0.0000 Si
4.9587 0.0000 0.0000 Si
```

## Properties
- Total DFT energy (no corrections): -7.544 eV/atom
- Magnetization: 0.00 μB/cell

---

# 10
Entry from the Alexandria database: a relaxed structure of ScTa2Si (PBE).

Geometry as POSCAR:
```
ScTa2Si
1.0
2.8790 0.0000 0.0000
0.0000 2.8790 0.0000
0.0000 0.0000 8.6342
Sc Ta Si
1 2 1
Cartesian
0.0000 0.0000 0.0000 Sc
0.0000 0.0000 3.8689 Ta
1.4395 1.4395 6.2064 Ta
1.4395 1.4395 2.0222 Si
```

## Properties
- Total DFT energy (no corrections): -8.942 eV/atom
- Magnetization: 0.00 μB/cell

---

# 11
Entry from the Alexandria database: a relaxed structure of ScTaSi2 (PBE).

Geometry as POSCAR:
```
ScTaSi2
1.0
6.4017 0.0000 0.0000
0.0000 6.4017 0.0000
0.0000 0.0000 6.4017
Sc Ta Si
4 4 8
Cartesian
0.0000 0.0000 0.0000 Sc
0.0000 3.2009 3.2009 Sc
3.2009 0.0000 3.2009 Sc
3.2009 3.2009 0.0000 Sc
1.6004 1.6004 1.6004 Ta
1.6004 4.8013 4.8013 Ta
4.8013 1.6004 4.8013 Ta
4.8013 4.8013 1.6004 Ta
0.0000 0.0000 3.2009 Si
0.0000 3.2009 0.0000 Si
1.6004 1.6004 4.8013 Si
1.6004 4.8013 1.6004 Si
3.2009 0.0000 0.0000 Si
3.2009 3.2009 3.2009 Si
4.8013 1.6004 1.6004 Si
4.8013 4.8013 4.8013 Si
```

## Properties
- Offset from the most stable computed form: 879 meV per atom
- Magnetization: 0.00 μB/cell

---

# 12
Entry from the Alexandria database: a relaxed structure of Sc2TaSi (PBE).

Geometry as POSCAR:
```
Sc2TaSi
1.0
4.9353 0.0000 0.0000
0.0000 4.9353 0.0000
0.0000 0.0000 3.1121
Sc Ta Si
2 1 1
Cartesian
0.0000 2.4676 0.0000 Sc
2.4676 0.0000 0.0000 Sc
0.0000 0.0000 1.5561 Ta
2.4676 2.4676 1.5561 Si
```

## Properties
- Total DFT energy (no corrections): -7.578 eV/atom
- Magnetization: 0.00 μB/cell

---

# 13
Entry from the Alexandria database: a relaxed structure of Sc2TaSi (PBE).

Geometry as POSCAR:
```
Sc2TaSi
1.0
2.9830 0.0000 0.0000
0.0000 2.9830 0.0000
0.0000 0.0000 8.6928
Sc Ta Si
2 1 1
Cartesian
0.0000 0.0000 0.0000 Sc
1.4915 1.4915 2.7625 Sc
1.4915 1.4915 6.4049 Ta
0.0000 0.0000 4.6238 Si
```

## Properties
- Total DFT energy (no corrections): -7.619 eV/atom
- Magnetization: 0.00 μB/cell

---

# 14
Entry from the Alexandria database: a relaxed structure of ScTaSi2 (PBE).

Geometry as POSCAR:
```
ScTaSi2
1.0
3.6911 0.0000 0.0000
0.0000 3.6341 0.0000
0.0000 0.0000 9.6697
Sc Ta Si
2 2 4
Cartesian
0.0000 0.0000 0.0000 Sc
0.0000 1.8171 4.8348 Sc
1.8455 0.0000 2.8231 Ta
1.8455 1.8171 7.6579 Ta
0.0000 0.0000 7.0252 Si
0.0000 1.8171 2.1904 Si
1.8455 0.0000 5.4924 Si
1.8455 1.8171 0.6576 Si
```

## Properties
- Offset from the most stable computed form: 0 meV per atom
- Magnetization: 0.00 μB/cell

---

# 15
Entry from the Alexandria database: a relaxed structure of Sc2TaSi2 (PBE).

Geometry as POSCAR:
```
Sc2TaSi2
1.0
6.8867 0.0000 0.0000
0.0000 6.8867 0.0000
0.0000 0.0000 3.7542
Sc Ta Si
4 2 4
Cartesian
1.2056 2.2378 0.0000 Sc
2.2378 5.6812 0.0000 Sc
4.6489 1.2056 0.0000 Sc
5.6812 4.6489 0.0000 Sc
0.0000 0.0000 1.8771 Ta
3.4434 3.4434 1.8771 Ta
0.8793 4.3226 1.8771 Si
2.5641 0.8793 1.8771 Si
4.3226 6.0075 1.8771 Si
6.0075 2.5641 1.8771 Si
```

## Properties
- Total DFT energy (no corrections): -7.724 eV/atom
- Magnetization: 0.00 μB/cell

---

# 16
Entry from the Alexandria database: a relaxed structure of Sc2TaSi (PBE).

Geometry as POSCAR:
```
Sc2TaSi
1.0
3.7860 0.0000 0.0000
0.0000 4.3665 0.0000
0.0000 0.0000 9.1187
Sc Ta Si
4 2 2
Cartesian
0.0000 0.0000 0.0000 Sc
0.0000 2.1833 2.1209 Sc
1.8930 0.0000 6.6803 Sc
1.8930 2.1833 4.5593 Sc
0.0000 0.0000 4.1801 Ta
1.8930 2.1833 8.7394 Ta
0.0000 2.1833 6.8030 Si
1.8930 0.0000 2.2437 Si
```

## Properties
- Total DFT energy (no corrections): -7.686 eV/atom
- Magnetization: 0.00 μB/cell

---

# 17
Entry from the Alexandria database: a relaxed structure of Sc2TaSi (PBE).

Geometry as POSCAR:
```
Sc2TaSi
1.0
4.1826 0.0000 0.0000
0.0000 4.1826 0.0000
0.0000 0.0000 4.2035
Sc Ta Si
2 1 1
Cartesian
0.0000 2.0913 0.0000 Sc
2.0913 0.0000 0.0000 Sc
0.0000 0.0000 2.1018 Ta
2.0913 2.0913 2.1018 Si
```

## Properties
- Total DFT energy (no corrections): -7.675 eV/atom
- Magnetization: 0.00 μB/cell

---

# 18
Entry from the Alexandria database: a relaxed structure of ScTaSi (PBE).

Geometry as POSCAR:
```
ScTaSi
1.0
6.1698 0.0000 0.0000
0.0000 6.1698 0.0000
0.0000 0.0000 6.1698
Sc Ta Si
4 4 4
Cartesian
0.0000 0.0000 0.0000 Sc
0.0000 3.0849 3.0849 Sc
3.0849 0.0000 3.0849 Sc
3.0849 3.0849 0.0000 Sc
0.0000 0.0000 3.0849 Ta
0.0000 3.0849 0.0000 Ta
3.0849 0.0000 0.0000 Ta
3.0849 3.0849 3.0849 Ta
1.5425 1.5425 1.5425 Si
1.5425 4.6274 4.6274 Si
4.6274 1.5425 4.6274 Si
4.6274 4.6274 1.5425 Si
```

## Properties
- Total DFT energy (no corrections): -7.976 eV/atom
- Magnetization: 0.01 μB/cell

---

# 19
Entry from the Alexandria database: a relaxed structure of Sc2TaSi (PBE).

Geometry as POSCAR:
```
Sc2TaSi
1.0
3.1209 0.0000 0.0000
-1.5605 2.7028 0.0000
0.0000 0.0000 27.7029
Sc Ta Si
6 3 3
Cartesian
0.0000 0.0000 6.7903 Sc
0.0000 0.0000 20.9126 Sc
0.0000 1.8019 11.6783 Sc
0.0000 1.8019 25.2589 Sc
1.5605 0.9009 2.4440 Sc
1.5605 0.9009 16.0246 Sc
0.0000 0.0000 0.0000 Ta
0.0000 1.8019 18.4686 Ta
1.5605 0.9009 9.2343 Ta
0.0000 0.0000 13.8515 Si
0.0000 1.8019 4.6172 Si
1.5605 0.9009 23.0858 Si
```

## Properties
- Total DFT energy (no corrections): -7.551 eV/atom
- Magnetization: 0.00 μB/cell

---

# 20
Entry from the Alexandria database: a relaxed structure of ScTaSi2 (PBE).

Geometry as POSCAR:
```
ScTaSi2
1.0
5.8014 0.0000 0.0000
0.0000 7.6944 0.0000
0.0000 0.0000 2.9074
Sc Ta Si
2 2 4
Cartesian
0.0000 0.0000 0.0000 Sc
2.9007 3.8472 0.0000 Sc
0.0000 3.8472 0.0000 Ta
2.9007 0.0000 0.0000 Ta
1.4503 1.9236 1.4537 Si
1.4503 5.7708 1.4537 Si
4.3510 1.9236 1.4537 Si
4.3510 5.7708 1.4537 Si
```

## Properties
- Offset from the most stable computed form: 361 meV per atom
- Magnetization: 0.00 μB/cell